Entry from Alexandria via LeMat-Bulk: LaSnHg6 after structural relaxation (GGA-PBE).

- Calculated formation energy: -206 meV/atom
- Space-group type: P-1
- Crystal system: triclinic
- Size of the total moment: 0.000 Bohr magnetons per cell

Cell: 5.5427 5.7735 6.8258 Å, 93.39 99.42 96.80°
Positions (direct):
La: 0.0000 0.0000 0.0000
Sn: 0.0000 0.0000 0.5000
Hg: 0.0035 0.5114 0.2599
Hg: 0.4971 0.2375 0.3541
Hg: 0.5005 0.2688 0.8541
Hg: 0.4995 0.7312 0.1459
Hg: 0.5029 0.7625 0.6459
Hg: 0.9965 0.4886 0.7401